VASP calculation (PBE-GGA) on MnCrRe2 after structural relaxation.

The structure in POSCAR format:
```
MnCrRe2
1.0
2.904 0.000 0.000
0.000 2.904 0.000
0.000 0.000 6.259
Mn Cr Re
1 1 2
Direct
0.000 0.000 0.000
0.500 0.500 0.824
0.000 0.000 0.553
0.500 0.500 0.278
```

Properties
Final energy = -10.8438 eV per atom
Total magnetic moment = 0.4 μB per formula unit
Space group = P4mm, No. 99
Excess energy over the best structure of this formula in the dataset = 0 meV per atom
Calculated formation energy = 79 meV per atom

---

VASP calculation (PBE-GGA) on MnCrRe2 after structural relaxation.

The structure in POSCAR format:
```
MnCrRe2
1.0
-1.883 1.883 3.795
1.883 -1.883 3.795
1.883 1.883 -3.795
Mn Cr Re
1 1 2
Direct
0.000 0.000 0.000
0.750 0.250 0.500
0.250 0.750 0.500
0.500 0.500 0.000
```

Properties
Final energy = -10.7959 eV per atom
Total magnetic moment = 1.0 μB per formula unit
Space group = I-4m2, No. 119
Excess energy over the best structure of this formula in the dataset = 48 meV per atom
Calculated formation energy = 126 meV per atom

---

VASP calculation (PBE-GGA) on MnCrRe2 after structural relaxation.

The structure in POSCAR format:
```
MnCrRe2
1.0
2.691 0.000 0.000
0.000 3.732 0.000
0.000 0.000 5.333
Mn Cr Re
1 1 2
Direct
0.000 0.000 0.000
0.500 0.500 0.768
0.000 0.000 0.520
0.500 0.500 0.243
```

Properties
Final energy = -10.7662 eV per atom
Total magnetic moment = 0.4 μB per formula unit
Space group = Pmm2, No. 25
Excess energy over the best structure of this formula in the dataset = 78 meV per atom
Calculated formation energy = 156 meV per atom

---

VASP calculation (PBE-GGA) on MnCrRe after structural relaxation.

The structure in POSCAR format:
```
MnCrRe
1.0
-2.340 2.377 3.319
2.340 -2.377 3.319
2.340 2.377 -3.319
Mn Cr Re
2 2 2
Direct
0.000 0.000 0.000
0.500 0.000 0.500
0.500 0.000 0.000
0.500 0.500 0.500
0.124 0.374 0.750
0.876 0.626 0.250
```

Properties
Final energy = -10.4756 eV per atom
Total magnetic moment = 0.0 μB per formula unit
Space group = Imma, No. 74
Excess energy over the best structure of this formula in the dataset = 0 meV per atom
Calculated formation energy = -62 meV per atom

---

VASP calculation (PBE-GGA) on Mn2CrRe after structural relaxation.

The structure in POSCAR format:
```
Mn2CrRe
1.0
1.308 0.755 8.349
-1.308 0.755 8.349
0.000 -1.511 8.349
Mn Cr Re
2 1 1
Direct
0.000 0.000 0.000
0.256 0.256 0.256
0.745 0.745 0.745
0.502 0.502 0.502
```

Properties
Final energy = -9.8613 eV per atom
Total magnetic moment = 0.0 μB per formula unit
Space group = R3m, No. 160
Calculated formation energy = 241 meV per atom

---

VASP calculation (PBE-GGA) on MnCrRe2 after structural relaxation.

The structure in POSCAR format:
```
MnCrRe2
1.0
4.409 -1.349 0.000
4.409 1.349 0.000
-0.868 0.000 4.495
Mn Cr Re
1 1 2
Direct
0.000 0.000 0.000
0.261 0.261 0.753
0.507 0.507 0.513
0.747 0.747 0.234
```

Properties
Final energy = -10.7855 eV per atom
Total magnetic moment = 0.8 μB per formula unit
Space group = Cm, No. 8
Excess energy over the best structure of this formula in the dataset = 58 meV per atom
Calculated formation energy = 137 meV per atom

---

VASP calculation (PBE-GGA) on MnCr14Re after structural relaxation.

The structure in POSCAR format:
```
MnCr14Re
1.0
2.884 -4.089 0.000
2.884 4.089 0.000
0.000 0.000 8.146
Mn Cr Re
1 14 1
Direct
0.000 0.000 0.000
0.000 0.000 0.500
0.000 0.500 0.000
0.000 0.500 0.500
0.248 0.248 0.255
0.248 0.248 0.745
0.248 0.752 0.251
0.248 0.752 0.749
0.500 0.000 0.000
0.500 0.000 0.500
0.500 0.500 0.500
0.752 0.248 0.251
0.752 0.248 0.749
0.752 0.752 0.255
0.752 0.752 0.745
0.500 0.500 0.000
```

Properties
Final energy = -9.7742 eV per atom
Total magnetic moment = 0.0 μB per formula unit
Space group = Cmmm, No. 65
Calculated formation energy = -3 meV per atom

---

VASP calculation (PBE-GGA) on MnCrRe2 after structural relaxation.

The structure in POSCAR format:
```
MnCrRe2
1.0
2.686 0.000 0.000
0.000 3.681 0.000
0.000 0.000 5.391
Mn Cr Re
1 1 2
Direct
0.000 0.000 0.000
0.000 0.000 0.500
0.500 0.500 0.248
0.500 0.500 0.752
```

Properties
Final energy = -10.7765 eV per atom
Total magnetic moment = 0.6 μB per formula unit
Space group = Pmmm, No. 47
Excess energy over the best structure of this formula in the dataset = 67 meV per atom
Calculated formation energy = 146 meV per atom

---

VASP calculation (PBE-GGA) on Mn2CrRe after structural relaxation.

The structure in POSCAR format:
```
Mn2CrRe
1.0
1.315 0.759 8.259
-1.315 0.759 8.259
0.000 -1.518 8.259
Mn Cr Re
2 1 1
Direct
0.245 0.245 0.245
0.755 0.755 0.755
0.500 0.500 0.500
0.000 0.000 0.000
```

Properties
Final energy = -9.8730 eV per atom
Total magnetic moment = 0.1 μB per formula unit
Space group = R-3m, No. 166
Calculated formation energy = 230 meV per atom

---

VASP calculation (PBE-GGA) on MnCrRe after structural relaxation.

The structure in POSCAR format:
```
MnCrRe
1.0
0.000 2.784 2.784
2.784 0.000 2.784
2.784 2.784 0.000
Mn Cr Re
1 1 1
Direct
0.000 0.000 0.000
0.250 0.250 0.250
0.750 0.750 0.750
```

Properties
Final energy = -9.8104 eV per atom
Total magnetic moment = 0.0 μB per formula unit
Space group = F-43m, No. 216
Excess energy over the best structure of this formula in the dataset = 665 meV per atom
Calculated formation energy = 603 meV per atom

---

VASP calculation (PBE-GGA) on MnCrRe2 after structural relaxation.

The structure in POSCAR format:
```
MnCrRe2
1.0
0.000 3.015 3.015
3.015 0.000 3.015
3.015 3.015 0.000
Mn Cr Re
1 1 2
Direct
0.000 0.000 0.000
0.750 0.750 0.750
0.250 0.250 0.250
0.500 0.500 0.500
```

Properties
Final energy = -10.8266 eV per atom
Total magnetic moment = 2.7 μB per formula unit
Space group = F-43m, No. 216
Excess energy over the best structure of this formula in the dataset = 17 meV per atom
Calculated formation energy = 96 meV per atom

---

VASP calculation (PBE-GGA) on Mn5CrRe2 after structural relaxation.

The structure in POSCAR format:
```
Mn5CrRe2
1.0
-1.964 1.964 6.296
1.964 -1.964 6.296
1.964 1.964 -6.296
Mn Cr Re
5 1 2
Direct
0.000 0.000 0.000
0.114 0.614 0.500
0.386 0.886 0.500
0.614 0.114 0.500
0.886 0.386 0.500
0.500 0.500 0.000
0.250 0.250 0.000
0.750 0.750 0.000
```

Properties
Final energy = -9.9438 eV per atom
Total magnetic moment = 4.8 μB per formula unit
Space group = I4/mmm, No. 139
Calculated formation energy = 102 meV per atom